## GeMoIO2 (GGA+U)

Data for a relaxed GeMoIO2 crystal.

D(E_F): 2.0 states/eV per cell
Distance to the lowest polymorph of the same formula: 936 meV/atom
E: -4.10 eV per atom
Size of the total moment: 2.87 μB/cell

Cell: 4.0167 5.8152 4.0167 Å, 90.00 90.00 90.00°
Closest atoms and distances in Å follow each position.
Atoms (fractional coordinates):
I1 0.0000 0.0000 0.0000  4 O 2.01
Mo1 0.0000 0.5000 0.0000  4 Ge 2.84, 2 I 2.91
Ge1 0.5000 0.5000 0.5000  4 Mo 2.84
O1 0.0000 0.0000 0.5000  2 I 2.01
O2 0.5000 0.0000 0.0000  2 I 2.01